IrPb2Cl | Alexandria via LeMat-Bulk | SCAN | PBEsol geometry; V = 24.96 Å³/atom; formation energy without anion corrections = -113 meV/atom; SG = R-3m (166)
1.0
1.988 1.148 7.294
-1.988 1.148 7.294
0.000 -2.295 7.294
Ir Pb Cl
1 2 1
Direct
0.000 0.000 0.000
0.266 0.266 0.266
0.734 0.734 0.734
0.500 0.500 0.500